Record 1
The following is a GGA-PBE calculation of HPd3Au after structural relaxation, from Alexandria via LeMat-Bulk.

The structure in POSCAR format:
```
HPd3Au
1.0
-4.203 -0.722 2.377
-2.772 -3.885 -6.080
2.827 -6.669 2.973
Au H Pd
4 4 12
Direct
0.000 0.000 0.500
0.000 0.500 0.500
0.500 0.500 0.000
0.500 0.000 0.000
0.012 0.750 0.994
0.988 0.250 0.006
0.512 0.750 0.506
0.488 0.250 0.494
0.711 0.750 0.323
0.211 0.750 0.177
0.789 0.250 0.823
0.986 0.425 0.160
0.486 0.075 0.340
0.014 0.575 0.840
0.514 0.575 0.660
0.014 0.925 0.840
0.514 0.925 0.660
0.986 0.075 0.160
0.289 0.250 0.677
0.486 0.425 0.340
```

The value obtained for the total energy is -4.341 eV/atom. The space group is Pnma (62). The calculation puts the energy above the lowest structure with this stoichiometry at 188 meV/atom. As for the total magnetization: 0.000 μB/atom. The value obtained for the density of states at the Fermi level is 0.4838 states/eV/atom.

---

Record 2
The following is a GGA-PBE calculation of H2Pd6Au after structural relaxation, from Alexandria via LeMat-Bulk.

The structure in POSCAR format:
```
H2Pd6Au
1.0
5.364 -0.685 1.334
0.974 9.265 0.885
0.294 0.374 4.834
H Pd Au
4 12 2
Direct
0.189 0.303 0.252
0.811 0.697 0.748
0.253 0.545 0.975
0.747 0.455 0.025
0.631 0.146 0.475
0.716 0.703 0.134
0.781 0.294 0.876
0.872 0.865 0.509
0.923 0.427 0.302
0.369 0.854 0.525
0.077 0.573 0.698
0.284 0.297 0.866
0.219 0.706 0.124
0.573 0.571 0.702
0.427 0.429 0.298
0.128 0.135 0.491
0.252 0.001 0.999
0.748 0.999 0.001
```

The value obtained for the total energy is -4.572 eV/atom. The space group is P-1 (2). The calculation puts the energy above the lowest structure with this stoichiometry at 24 meV/atom. As for the total magnetization: 0.000 μB/atom. The value obtained for the density of states at the Fermi level is 1.0923 states/eV/atom.

---

Record 3
The following is a GGA-PBE calculation of H3Pd6Au after structural relaxation, from Alexandria via LeMat-Bulk.

The structure in POSCAR format:
```
H3Pd6Au
1.0
-2.614 -4.779 1.612
3.022 -3.487 -5.435
3.084 0.475 6.410
Pd H Au
12 6 2
Direct
0.949 0.776 0.224
0.448 0.000 0.000
0.697 0.182 0.408
0.197 0.408 0.182
0.199 0.182 0.408
0.449 0.224 0.776
0.699 0.408 0.182
0.197 0.818 0.592
0.697 0.592 0.818
0.199 0.592 0.818
0.699 0.818 0.592
0.948 0.000 0.000
0.449 0.294 0.257
0.449 0.367 0.633
0.449 0.743 0.706
0.949 0.633 0.367
0.949 0.706 0.743
0.949 0.257 0.294
0.448 0.772 0.228
0.948 0.228 0.772
```

The value obtained for the total energy is -4.483 eV/atom. The space group is Cmcm (63). The calculation puts the energy above the lowest structure with this stoichiometry at 50 meV/atom. As for the total magnetization: 0.000 μB/atom. The value obtained for the density of states at the Fermi level is 0.8634 states/eV/atom.

---

Record 4
The following is a GGA-PBE calculation of HPd3Au after structural relaxation, from Alexandria via LeMat-Bulk.

The structure in POSCAR format:
```
HPd3Au
1.0
-4.634 1.348 13.768
-4.106 0.562 2.735
1.255 -3.375 -3.419
Pd H Au
6 2 2
Direct
0.186 0.188 0.812
0.313 0.310 0.690
0.687 0.690 0.310
0.562 0.565 0.435
0.814 0.812 0.188
0.438 0.435 0.565
0.417 0.970 0.030
0.583 0.030 0.970
0.937 0.939 0.061
0.063 0.061 0.939
```

The value obtained for the total energy is -4.518 eV/atom. The space group is C2/m (12). The calculation puts the energy above the lowest structure with this stoichiometry at 11 meV/atom. As for the total magnetization: 0.000 μB/atom. The value obtained for the density of states at the Fermi level is 0.6171 states/eV/atom.

---

Record 5
The following is a GGA-PBE calculation of HPdAu3 after structural relaxation, from Alexandria via LeMat-Bulk.

The structure in POSCAR format:
```
HPdAu3
1.0
5.107 0.000 0.000
0.000 5.107 0.000
0.000 0.000 5.107
Au Pd H
3 1 1
Direct
0.000 0.000 0.500
0.000 0.500 0.000
0.500 0.000 0.000
0.000 0.000 0.000
0.500 0.500 0.500
```

The value obtained for the total energy is -2.428 eV/atom. The space group is Pm-3m (221). The calculation puts the energy above the lowest structure with this stoichiometry at 1079 meV/atom. As for the total magnetization: 0.168 μB/atom. The value obtained for the density of states at the Fermi level is 0.5752 states/eV/atom.

---

Record 6
The following is a GGA-PBE calculation of H3Pd10Au2 after structural relaxation, from Alexandria via LeMat-Bulk.

The structure in POSCAR format:
```
H3Pd10Au2
1.0
0.225 2.931 -4.919
5.524 -4.765 -2.607
-8.931 -4.535 0.201
H Pd Au
6 20 4
Direct
0.183 0.015 0.356
0.876 0.710 0.757
0.258 0.019 0.996
0.742 0.981 0.004
0.817 0.985 0.644
0.124 0.290 0.243
0.752 0.500 0.000
0.518 0.198 0.029
0.766 0.695 0.529
0.639 0.946 0.778
0.985 0.800 0.972
0.142 0.945 0.778
0.361 0.054 0.222
0.123 0.747 0.248
0.482 0.802 0.971
0.113 0.551 0.723
0.234 0.305 0.471
0.000 0.000 0.500
0.015 0.200 0.028
0.887 0.449 0.277
0.500 0.000 0.500
0.606 0.551 0.723
0.394 0.449 0.277
0.877 0.253 0.752
0.858 0.055 0.222
0.248 0.500 0.000
0.266 0.694 0.528
0.376 0.251 0.752
0.734 0.306 0.472
0.624 0.749 0.248
```

The value obtained for the total energy is -4.623 eV/atom. The space group is P-1 (2). As for the total magnetization: 0.000 μB/atom. The value obtained for the density of states at the Fermi level is 1.5777 states/eV/atom.